# 1
Computed, not measured: a geometry-optimized Hg2BiSO structure at the PBE level of DFT.

```
data_Hg2BiSO
_chemical_formula_sum 'Hg2 Bi1 S1 O1'
_space_group_name_H-M_alt 'P 4/m m m'
_space_group_IT_number 123
_space_group_name_Hall '-P 4 2'
_cell_length_a 5.880
_cell_length_b 5.880
_cell_length_c 4.264
_cell_angle_alpha 90.00
_cell_angle_beta 90.00
_cell_angle_gamma 90.00
loop_
_atom_site_label
_atom_site_fract_x
_atom_site_fract_y
_atom_site_fract_z
Hg1 0.000 0.500 0.000
Bi1 0.000 0.000 0.000
S1 0.500 0.500 0.500
O1 0.000 0.000 0.500
```

=====

# 2
Computed, not measured: a geometry-optimized Tc2HgBiO structure at the PBE level of DFT.

```
data_Tc2HgBiO
_chemical_formula_sum 'Tc2 Hg1 Bi1 O1'
_space_group_name_H-M_alt 'P 4/m m m'
_space_group_IT_number 123
_space_group_name_Hall '-P 4 2'
_cell_length_a 5.240
_cell_length_b 5.240
_cell_length_c 4.341
_cell_angle_alpha 90.00
_cell_angle_beta 90.00
_cell_angle_gamma 90.00
loop_
_atom_site_label
_atom_site_fract_x
_atom_site_fract_y
_atom_site_fract_z
Tc1 0.000 0.500 0.000
Hg1 0.000 0.000 0.500
Bi1 0.500 0.500 0.000
O1 0.500 0.500 0.500
```

=====

# 3
Computed, not measured: a geometry-optimized Tc2HgBiO8 structure at the PBE level of DFT.

```
data_Tc2HgBiO8
_chemical_formula_sum 'Tc4 Hg2 Bi2 O16'
_space_group_name_H-M_alt 'C 1 2/m 1'
_space_group_IT_number 12
_cell_length_a 10.889
_cell_length_b 6.272
_cell_length_c 8.244
_cell_angle_alpha 90.00
_cell_angle_beta 109.95
_cell_angle_gamma 90.00
loop_
_space_group_symop_operation_xyz
'x,y,z'
'-x,-y,-z'
'-x,y,-z'
'x,-y,z'
'x+1/2,y+1/2,z'
'-x+1/2,-y+1/2,-z'
'-x+1/2,y+1/2,-z'
'x+1/2,-y+1/2,z'
loop_
_atom_site_label
_atom_site_fract_x
_atom_site_fract_y
_atom_site_fract_z
Tc1 0.200 0.000 0.125
Hg1 0.000 0.000 0.500
Bi1 0.000 0.500 0.000
O1 0.126 0.500 0.811
O2 0.136 0.236 0.186
O3 0.145 0.000 0.902
```

=====

# 4
Computed, not measured: a geometry-optimized HgBiTeO6 structure at the PBE level of DFT.

```
data_HgBiTeO6
_chemical_formula_sum 'Hg2 Bi2 Te2 O12'
_space_group_name_H-M_alt 'P -3 1 c'
_space_group_IT_number 163
_space_group_name_Hall '-P 3 2c'
_cell_length_a 5.6335
_cell_length_b 5.6335
_cell_length_c 9.7811
_cell_angle_alpha 90.00
_cell_angle_beta 90.00
_cell_angle_gamma 120.00
loop_
_atom_site_label
_atom_site_fract_x
_atom_site_fract_y
_atom_site_fract_z
Hg1 0.0000 0.0000 0.0000
Bi1 0.3333 0.6667 0.2500
Te1 0.3333 0.6667 0.7500
O1 0.0363 0.3846 0.6360
```

=====

no.,total magnetic moment (μB per atom),ΔE_f (raw) (meV per atom),theoretical density (g/cm³)
1,0.224,272.0,7.41
2,1.058,1384.3,8.66
3,0.000,-1154.6,4.60
4,0.000,-766.6,7.82